The following is a PBE-GGA calculation of a geometry-optimized Tm12Mg2Al5 structure, from Alexandria.

Computed properties:
energy relative to the elements = -140 meV per atom
space group = No. 12
magnetic moment = 0.0000 μB/atom

Lattice parameters (Å, degrees): 8.056 8.056 8.112 102.50 102.50 81.51
Positions (direct):
1 Tm 0.016 0.331 0.821
2 Tm 0.100 0.100 0.175
3 Tm 0.160 0.621 0.593
4 Tm 0.331 0.016 0.821
5 Tm 0.379 0.840 0.407
6 Tm 0.391 0.391 0.269
7 Tm 0.609 0.609 0.731
8 Tm 0.621 0.160 0.593
9 Tm 0.669 0.984 0.179
10 Tm 0.840 0.379 0.407
11 Tm 0.900 0.900 0.825
12 Tm 0.984 0.669 0.179
13 Mg 0.282 0.718 0.000
14 Mg 0.718 0.282 0.000
15 Al 0.000 0.000 0.500
16 Al 0.235 0.235 0.541
17 Al 0.389 0.389 0.852
18 Al 0.611 0.611 0.148
19 Al 0.765 0.765 0.459